Material: LaMgCuPb
Method: DFT, PBE-GGA
State: relaxed

Cell lengths 5.210, 5.210, 5.210 Å; angles 60.00, 60.00, 60.00 degrees
Fractional positions:
La (0.000, 0.000, 0.000)
Pb (0.750, 0.750, 0.750)
Mg (0.500, 0.500, 0.500)
Cu (0.250, 0.250, 0.250)

The formation energy is -0.232 eV per atom. Its density of states at the Fermi level is 0.405 states/eV per atom. As for the crystal system: cubic.